Here is a geometry-optimized Sc6AgPb structure from Alexandria via LeMat-Bulk. Energies are from PBE-GGA.

Values from the calculation:
calculated formation energy = 0.02 eV per atom

abc: 6.3417 6.3417 6.2647
angles: 109.74 109.74 108.71
Fractional coordinates of all 8 atoms:
Sc 0.2382 0.7523 0.7497
Sc 0.2477 0.7618 0.2503
Sc 0.2508 0.2508 0.7575
Sc 0.7492 0.7492 0.2425
Sc 0.7523 0.2382 0.7497
Sc 0.7618 0.2477 0.2503
Ag 0.0000 0.0000 0.0000
Pb 0.5000 0.5000 0.5000